YZn2Se | PBEsol | optimized geometry

Values from the calculation:
energy relative to the elements, uncorrected	-0.36	eV/atom
DFT total energy	-3.82	eV/atom

Cell: 3.504 3.504 6.296 Å, 90.00 90.00 90.00°
Positions (direct):
Se1 0.500 0.500 0.500
Y1 0.500 0.500 0.000
Zn1 0.000 0.000 0.290
Zn2 0.000 0.000 0.710

Zr3Bi | PBEsol | optimized geometry

Values from the calculation:
DFT total energy	-8.13	eV/atom

Cell: 5.197 6.283 6.283 Å, 120.00 90.00 90.00°
Positions (direct):
Bi1 0.750 0.333 0.667
Bi2 0.250 0.667 0.333
Zr1 0.250 0.672 0.836
Zr2 0.250 0.164 0.328
Zr3 0.250 0.164 0.836
Zr4 0.750 0.328 0.164
Zr5 0.750 0.836 0.672
Zr6 0.750 0.836 0.164

Cs2MnCl6 | PBEsol | optimized geometry

Values from the calculation:
energy relative to the elements, uncorrected	-1.45	eV/atom
DFT total energy	-4.09	eV/atom

Cell: 7.144 7.144 7.144 Å, 60.00 60.00 60.00°
Positions (direct):
Cs1 0.250 0.250 0.250
Cs2 0.750 0.750 0.750
Mn1 0.000 0.000 0.000
Cl1 0.224 0.776 0.224
Cl2 0.224 0.224 0.776
Cl3 0.776 0.776 0.224
Cl4 0.776 0.224 0.776
Cl5 0.776 0.224 0.224
Cl6 0.224 0.776 0.776

Si3Te4 | PBEsol | optimized geometry

Values from the calculation:
energy relative to the elements, uncorrected	0.43	eV/atom
DFT total energy	-4.05	eV/atom

Cell: 5.126 5.126 7.312 Å, 90.00 90.00 120.00°
Positions (direct):
Si1 0.000 0.500 0.000
Si2 0.500 0.000 0.000
Si3 0.500 0.500 0.000
Te1 0.000 0.000 0.773
Te2 0.000 0.000 0.227
Te3 0.333 0.667 0.500
Te4 0.667 0.333 0.500